Compound: CoSi2Ge2
Source: the Open Quantum Materials Database
Functional: GGA-PBE
Structure: optimized geometry

Geometry as POSCAR:
```
CoSi2Ge2
1.0
5.433 -1.892 0.000
5.433 1.892 0.000
-3.971 0.000 8.316
Co Ge Si
2 4 4
Direct
0.248 0.248 0.403 Co
0.752 0.752 0.597 Co
0.219 0.219 0.137 Ge
0.595 0.595 0.314 Ge
0.405 0.405 0.686 Ge
0.781 0.781 0.863 Ge
0.402 0.402 0.043 Si
0.881 0.881 0.443 Si
0.119 0.119 0.557 Si
0.598 0.598 0.957 Si
```

Calculated values
The calculation puts the total DFT energy (no corrections) at -53.78 eV/cell. Its symmetry is C2/m, No. 12. The volume is 17.09 A^3/atom.